Record 1
VASP calculation (PBE) on AcTbB2O6 after structural relaxation.

CIF file:
```
data_AcTbB2O6
_chemical_formula_sum 'Ac4 Tb4 B8 O24'
_symmetry_space_group_name_H-M 'C 1 2/c 1'
_symmetry_Int_Tables_number 15
_cell_length_a 8.327
_cell_length_b 9.873
_cell_length_c 6.599
_cell_angle_alpha 90.00
_cell_angle_beta 109.10
_cell_angle_gamma 90.00
loop_
_symmetry_equiv_pos_as_xyz
'x,y,z'
'-x,-y,-z'
'-x,y,-z+1/2'
'x,-y,z+1/2'
'x+1/2,y+1/2,z'
'-x+1/2,-y+1/2,-z'
'-x+1/2,y+1/2,-z+1/2'
'x+1/2,-y+1/2,z+1/2'
loop_
_atom_site_label
_atom_site_type_symbol
_atom_site_fract_x
_atom_site_fract_y
_atom_site_fract_z
Ac1 Ac 0.000 0.152 0.250
Tb1 Tb 0.000 0.408 0.750
B1 B 0.245 0.118 0.727
O1 O 0.096 0.385 0.116
O2 O 0.162 0.240 0.668
O3 O 0.189 0.001 0.610
```

---

Record 2
VASP calculation (PBE) on BaYTa2 after structural relaxation.

CIF file:
```
data_BaYTa2
_chemical_formula_sum 'Ba2 Y2 Ta4'
_symmetry_space_group_name_H-M 'C 1 m 1'
_symmetry_Int_Tables_number 8
_cell_length_a 9.125
_cell_length_b 3.317
_cell_length_c 8.224
_cell_angle_alpha 90.00
_cell_angle_beta 92.80
_cell_angle_gamma 90.00
loop_
_symmetry_equiv_pos_as_xyz
'x,y,z'
'x,-y,z'
'x+1/2,y+1/2,z'
'x+1/2,-y+1/2,z'
loop_
_atom_site_label
_atom_site_type_symbol
_atom_site_fract_x
_atom_site_fract_y
_atom_site_fract_z
Ba1 Ba 0.000 0.000 0.000
Y1 Y 0.269 0.500 0.383
Ta1 Ta 0.007 0.500 0.609
Ta2 Ta 0.237 0.000 0.696
```

Formation energy, eV per formula unit: 2.59
Excess energy over the best structure of this formula in the dataset, meV per atom: 217

---

Record 3
VASP calculation (PBE) on YHo2HfAs4 after structural relaxation.

CIF file:
```
data_YHo2HfAs4
_chemical_formula_sum 'Y1 Ho2 Hf1 As4'
_symmetry_space_group_name_H-M 'P 1 2/m 1'
_symmetry_Int_Tables_number 10
_cell_length_a 6.972
_cell_length_b 4.023
_cell_length_c 6.975
_cell_angle_alpha 90.00
_cell_angle_beta 109.28
_cell_angle_gamma 90.00
loop_
_symmetry_equiv_pos_as_xyz
'x,y,z'
'-x,-y,-z'
'-x,y,-z'
'x,-y,z'
loop_
_atom_site_label
_atom_site_type_symbol
_atom_site_fract_x
_atom_site_fract_y
_atom_site_fract_z
Y1 Y 0.000 0.000 0.000
Ho1 Ho 0.500 0.000 0.500
Ho2 Ho 0.500 0.500 0.000
Hf1 Hf 0.000 0.500 0.500
As1 As 0.239 0.000 0.738
As2 As 0.245 0.500 0.258
```

Formation energy, eV per formula unit: -11.19

---

Record 4
VASP calculation (PBE) on NaSiGeRh2 after structural relaxation.

CIF file:
```
data_NaSiGeRh2
_chemical_formula_sum 'Na1 Si1 Ge1 Rh2'
_symmetry_space_group_name_H-M 'P 4/m m m'
_symmetry_Int_Tables_number 123
_symmetry_space_group_name_Hall '-P 4 2'
_cell_length_a 4.597
_cell_length_b 4.597
_cell_length_c 4.545
_cell_angle_alpha 90.00
_cell_angle_beta 90.00
_cell_angle_gamma 90.00
loop_
_atom_site_label
_atom_site_type_symbol
_atom_site_fract_x
_atom_site_fract_y
_atom_site_fract_z
Na1 Na 0.000 0.000 0.000
Si1 Si 0.500 0.500 0.500
Ge1 Ge 0.000 0.000 0.500
Rh1 Rh 0.000 0.500 0.000
```

---

Record 5
VASP calculation (PBE) on YTlSe2 after structural relaxation.

CIF file:
```
data_YTlSe2
_chemical_formula_sum 'Y2 Tl2 Se4'
_symmetry_space_group_name_H-M 'I m m 2'
_symmetry_Int_Tables_number 44
_cell_length_a 3.739
_cell_length_b 4.008
_cell_length_c 16.287
_cell_angle_alpha 90.00
_cell_angle_beta 90.00
_cell_angle_gamma 90.00
loop_
_symmetry_equiv_pos_as_xyz
'x,y,z'
'-x,-y,z'
'-x,y,z'
'x,-y,z'
'x+1/2,y+1/2,z+1/2'
'-x+1/2,-y+1/2,z+1/2'
'-x+1/2,y+1/2,z+1/2'
'x+1/2,-y+1/2,z+1/2'
loop_
_atom_site_label
_atom_site_type_symbol
_atom_site_fract_x
_atom_site_fract_y
_atom_site_fract_z
Y1 Y 0.000 0.000 0.000
Tl1 Tl 0.000 0.500 0.232
Se1 Se 0.000 0.000 0.433
Se2 Se 0.000 0.500 0.630
```

---

Record 6
VASP calculation (PBE) on La8In2Rh after structural relaxation.

CIF file:
```
data_La8In2Rh
_chemical_formula_sum 'La16 In4 Rh2'
_symmetry_space_group_name_H-M 'C 1 2/m 1'
_symmetry_Int_Tables_number 12
_cell_length_a 18.569
_cell_length_b 5.675
_cell_length_c 7.054
_cell_angle_alpha 90.00
_cell_angle_beta 110.22
_cell_angle_gamma 90.00
loop_
_symmetry_equiv_pos_as_xyz
'x,y,z'
'-x,-y,-z'
'-x,y,-z'
'x,-y,z'
'x+1/2,y+1/2,z'
'-x+1/2,-y+1/2,-z'
'-x+1/2,y+1/2,-z'
'x+1/2,-y+1/2,z'
loop_
_atom_site_label
_atom_site_type_symbol
_atom_site_fract_x
_atom_site_fract_y
_atom_site_fract_z
La1 La 0.003 0.000 0.277
La2 La 0.094 0.500 0.906
La3 La 0.146 0.500 0.424
La4 La 0.209 0.000 0.745
In1 In 0.177 0.000 0.190
Rh1 Rh 0.000 0.500 0.500
```

Formation energy, eV per formula unit: -3.83

---

Record 7
VASP calculation (PBE) on Sc2TlCu after structural relaxation.

CIF file:
```
data_Sc2TlCu
_chemical_formula_sum 'Sc8 Tl4 Cu4'
_symmetry_space_group_name_H-M 'F -4 3 m'
_symmetry_Int_Tables_number 216
_symmetry_space_group_name_Hall 'F -4 2 3'
_cell_length_a 6.877
_cell_length_b 6.877
_cell_length_c 6.877
_cell_angle_alpha 90.00
_cell_angle_beta 90.00
_cell_angle_gamma 90.00
loop_
_atom_site_label
_atom_site_type_symbol
_atom_site_fract_x
_atom_site_fract_y
_atom_site_fract_z
Sc1 Sc 0.000 0.000 0.000
Sc2 Sc 0.250 0.250 0.250
Tl1 Tl 0.000 0.000 0.500
Cu1 Cu 0.250 0.250 0.750
```

Formation energy, eV per formula unit: 0.35

---

Record 8
VASP calculation (PBE) on Pa2Si4Pd3Au after structural relaxation.

CIF file:
```
data_Pa2Si4Pd3Au
_chemical_formula_sum 'Pa2 Si4 Pd3 Au1'
_symmetry_space_group_name_H-M 'P -4 m 2'
_symmetry_Int_Tables_number 115
_cell_length_a 4.262
_cell_length_b 4.262
_cell_length_c 9.759
_cell_angle_alpha 90.00
_cell_angle_beta 90.00
_cell_angle_gamma 90.00
loop_
_symmetry_equiv_pos_as_xyz
'x,y,z'
'y,-x,-z'
'-x,-y,z'
'-y,x,-z'
'-x,y,z'
'-y,-x,-z'
'x,-y,z'
'y,x,-z'
loop_
_atom_site_label
_atom_site_type_symbol
_atom_site_fract_x
_atom_site_fract_y
_atom_site_fract_z
Pa1 Pa 0.000 0.500 0.243
Si1 Si 0.000 0.000 0.000
Si2 Si 0.000 0.500 0.640
Si3 Si 0.500 0.500 0.000
Pd1 Pd 0.000 0.500 0.883
Pd2 Pd 0.500 0.500 0.500
Au1 Au 0.000 0.000 0.500
```

---

Calculated raw total energy, -331.1, -59.0, -55.4, -18.4, -41.6, -112.2, -75.1, -66.0 eV for the cell shown (same order as the records).